Entry 1:
Density functional theory data (GGA-PBE) for a relaxed structure of LaRe3Ni.

**Distance to the lowest polymorph of the same formula**: 1939.9 meV per atom
**Formation energy from the elements**: 16.23 eV/f.u.
**M_tot**: 0.000 Bohr magnetons per cell
**Electronic total energy**: -6.365 eV per atom

a = 4.7670 Å, b = 4.7670 Å, c = 4.7670 Å
α = 90.00°, β = 90.00°, γ = 90.00°
Last column: nearest neighbours and their distance in Å.
Atoms (fractional coordinates):
La (0.0000, 0.0000, 0.0000)  6 Re 2.38
Re (0.0000, 0.0000, 0.5000)  2 La 2.38
Re (0.0000, 0.5000, 0.0000)  2 La 2.38
Re (0.5000, 0.0000, 0.0000)  2 La 2.38
Ni (0.5000, 0.5000, 0.5000)  12 Re 3.37


Entry 2:
Density functional theory data (GGA-PBE) for a relaxed structure of LaReNi.

**Distance to the lowest polymorph of the same formula**: 81.8 meV per atom
**Formation energy from the elements**: 0.88 eV/f.u.
**M_tot**: 0.006 Bohr magnetons per cell
**Electronic total energy**: -7.426 eV per atom

a = 5.9527 Å, b = 5.9527 Å, c = 5.9527 Å
α = 152.37°, β = 143.78°, γ = 46.16°
Last column: nearest neighbours and their distance in Å.
Atoms (fractional coordinates):
La (0.0000, 0.0000, 0.0000)  2 La 2.84
Re (0.2916, 0.2916, 0.0000)  4 Ni 2.50
Ni (0.7091, 0.7091, 0.0000)  4 Re 2.50


Entry 3:
Density functional theory data (GGA-PBE) for a relaxed structure of LaReNi.

**Distance to the lowest polymorph of the same formula**: 423.5 meV per atom
**Formation energy from the elements**: 1.90 eV/f.u.
**M_tot**: 0.000 Bohr magnetons per cell
**Electronic total energy**: -7.084 eV per atom

a = 2.9120 Å, b = 2.9120 Å, c = 7.3859 Å
α = 90.00°, β = 90.00°, γ = 120.00°
Last column: nearest neighbours and their distance in Å.
Atoms (fractional coordinates):
La (0.0000, 0.0000, 0.0000)  6 La 2.91, 3 Ni 3.17
Re (0.3333, 0.6667, 0.6165)  3 Ni 2.51
Ni (0.6667, 0.3333, 0.3637)  3 Re 2.51


Entry 4:
Density functional theory data (GGA-PBE) for a relaxed structure of LaReNi2.

**Distance to the lowest polymorph of the same formula**: 502.4 meV per atom
**Formation energy from the elements**: 1.78 eV/f.u.
**M_tot**: 0.049 Bohr magnetons per cell
**Electronic total energy**: -6.790 eV per atom

a = 8.7696 Å, b = 8.7696 Å, c = 8.7696 Å
α = 149.78°, β = 149.78°, γ = 43.26°
Last column: nearest neighbours and their distance in Å.
Atoms (fractional coordinates):
La (0.0000, 0.0000, 0.0000)  8 Ni 3.10-3.44, 4 Re 3.23
La (0.7500, 0.2500, 0.5000)  8 Ni 3.10-3.44, 4 Re 3.23
Re (0.2500, 0.7500, 0.5000)  4 Ni 2.35
Re (0.5000, 0.5000, 0.0000)  4 Ni 2.35
Ni (0.3214, 0.6250, 0.1964)  2 Ni 2.34, 2 Re 2.35
Ni (0.3750, 0.5714, 0.6964)  2 Ni 2.34, 2 Re 2.35
Ni (0.4286, 0.1250, 0.8036)  2 Ni 2.34, 2 Re 2.35
Ni (0.8750, 0.6786, 0.3036)  2 Ni 2.34, 2 Re 2.35


Entry 5:
Density functional theory data (GGA-PBE) for a relaxed structure of LaReNi3.

**Distance to the lowest polymorph of the same formula**: 0.0 meV per atom
**Formation energy from the elements**: 2.06 eV/f.u.
**M_tot**: 0.000 Bohr magnetons per cell
**Electronic total energy**: -6.532 eV per atom

a = 4.6007 Å, b = 4.6007 Å, c = 4.6007 Å
α = 90.00°, β = 90.00°, γ = 90.00°
Last column: nearest neighbours and their distance in Å.
Atoms (fractional coordinates):
La (0.0000, 0.0000, 0.0000)  12 Ni 3.25
Re (0.5000, 0.5000, 0.5000)  6 Ni 2.30
Ni (0.0000, 0.5000, 0.5000)  2 Re 2.30
Ni (0.5000, 0.0000, 0.5000)  2 Re 2.30
Ni (0.5000, 0.5000, 0.0000)  2 Re 2.30


Entry 6:
Density functional theory data (GGA-PBE) for a relaxed structure of LaRe3Ni.

**Distance to the lowest polymorph of the same formula**: 0.0 meV per atom
**Formation energy from the elements**: 6.53 eV/f.u.
**M_tot**: 0.044 Bohr magnetons per cell
**Electronic total energy**: -8.305 eV per atom

a = 4.6019 Å, b = 4.6019 Å, c = 4.6019 Å
α = 90.00°, β = 90.00°, γ = 90.00°
Last column: nearest neighbours and their distance in Å.
Atoms (fractional coordinates):
La (0.0000, 0.0000, 0.0000)  12 Re 3.25
Re (0.0000, 0.5000, 0.5000)  2 Ni 2.30
Re (0.5000, 0.0000, 0.5000)  2 Ni 2.30
Re (0.5000, 0.5000, 0.0000)  2 Ni 2.30
Ni (0.5000, 0.5000, 0.5000)  6 Re 2.30


Entry 7:
Density functional theory data (GGA-PBE) for a relaxed structure of LaReNi2.

**Distance to the lowest polymorph of the same formula**: 489.6 meV per atom
**Formation energy from the elements**: 1.73 eV/f.u.
**M_tot**: 1.272 Bohr magnetons per cell
**Electronic total energy**: -6.803 eV per atom

a = 4.7677 Å, b = 4.7677 Å, c = 4.7677 Å
α = 126.96°, β = 126.96°, γ = 78.32°
Last column: nearest neighbours and their distance in Å.
Atoms (fractional coordinates):
La (0.0000, 0.0000, 0.0000)  8 Ni 2.82, 4 Re 3.01
Re (0.5000, 0.5000, 0.0000)  8 Ni 2.82, 4 La 3.01
Ni (0.2500, 0.7500, 0.5000)  4 La 2.82, 4 Re 2.82, 4 Ni 3.01
Ni (0.7500, 0.2500, 0.5000)  4 La 2.82, 4 Re 2.82, 4 Ni 3.01


Entry 8:
Density functional theory data (GGA-PBE) for a relaxed structure of LaReNi3.

**Distance to the lowest polymorph of the same formula**: 1476.7 meV per atom
**Formation energy from the elements**: 9.44 eV/f.u.
**M_tot**: 0.000 Bohr magnetons per cell
**Electronic total energy**: -5.055 eV per atom

a = 4.5224 Å, b = 4.5224 Å, c = 4.5224 Å
α = 90.00°, β = 90.00°, γ = 90.00°
Last column: nearest neighbours and their distance in Å.
Atoms (fractional coordinates):
La (0.0000, 0.0000, 0.0000)  6 Ni 2.26
Re (0.5000, 0.5000, 0.5000)  12 Ni 3.20
Ni (0.0000, 0.0000, 0.5000)  2 La 2.26
Ni (0.0000, 0.5000, 0.0000)  2 La 2.26
Ni (0.5000, 0.0000, 0.0000)  2 La 2.26


Entry 9:
Density functional theory data (GGA-PBE) for a relaxed structure of LaReNi.

**Distance to the lowest polymorph of the same formula**: 1223.0 meV per atom
**Formation energy from the elements**: 4.30 eV/f.u.
**M_tot**: 2.017 Bohr magnetons per cell
**Electronic total energy**: -6.285 eV per atom

a = 4.5307 Å, b = 4.5307 Å, c = 4.5307 Å
α = 60.00°, β = 60.00°, γ = 60.00°
Last column: nearest neighbours and their distance in Å.
Atoms (fractional coordinates):
La (0.0000, 0.0000, 0.0000)  4 Re 2.77, 4 Ni 2.77
Re (0.7500, 0.7500, 0.7500)  4 La 2.77
Ni (0.2500, 0.2500, 0.2500)  4 La 2.77


Entry 10:
Density functional theory data (GGA-PBE) for a relaxed structure of LaRe2NiRh.

**Formation energy from the elements**: 12.88 eV/f.u.
**M_tot**: 0.000 Bohr magnetons per cell
**Electronic total energy**: -6.016 eV per atom

a = 4.7863 Å, b = 4.7863 Å, c = 4.4286 Å
α = 90.00°, β = 90.00°, γ = 90.00°
Last column: nearest neighbours and their distance in Å.
Atoms (fractional coordinates):
La (0.0000, 0.0000, 0.0000)  2 Ni 2.21, 4 Re 2.39
Re (0.0000, 0.5000, 0.0000)  2 La 2.39
Re (0.5000, 0.0000, 0.0000)  2 La 2.39
Ni (0.0000, 0.0000, 0.5000)  2 La 2.21
Rh (0.5000, 0.5000, 0.5000)  8 Re 3.26, 4 Ni 3.38


Entry 11:
Density functional theory data (GGA-PBE) for a relaxed structure of LaReNi2Se.

**ΔE_f (raw)**: 1799 meV/atom
**M_tot**: 0.055 Bohr magnetons per cell
**Electronic total energy**: -4.686 eV per atom

a = 4.5424 Å, b = 4.5424 Å, c = 5.4801 Å
α = 90.00°, β = 90.00°, γ = 90.00°
Last column: nearest neighbours and their distance in Å.
Atoms (fractional coordinates):
La (0.0000, 0.0000, 0.0000)  4 Ni 2.27
Re (0.5000, 0.5000, 0.5000)  4 Se 3.21, 8 Ni 3.56
Ni (0.0000, 0.5000, 0.0000)  2 La 2.27
Ni (0.5000, 0.0000, 0.0000)  2 La 2.27
Se (0.0000, 0.0000, 0.5000)  2 La 2.74


Entry 12:
Density functional theory data (GGA-PBE) for a relaxed structure of LaTaRe2Ni.

**Formation energy from the elements**: 7.19 eV/f.u.
**M_tot**: 0.006 Bohr magnetons per cell
**Electronic total energy**: -8.054 eV per atom

a = 4.6261 Å, b = 4.6261 Å, c = 4.7513 Å
α = 90.00°, β = 90.00°, γ = 90.00°
Last column: nearest neighbours and their distance in Å.
Atoms (fractional coordinates):
La (0.0000, 0.0000, 0.0000)  2 Ni 2.38
Ta (0.5000, 0.5000, 0.0000)  4 La 3.27, 8 Re 3.32
Re (0.0000, 0.5000, 0.5000)  2 Ni 2.31
Re (0.5000, 0.0000, 0.5000)  2 Ni 2.31
Ni (0.0000, 0.0000, 0.5000)  4 Re 2.31, 2 La 2.38


Entry 13:
Density functional theory data (GGA-PBE) for a relaxed structure of LaV2ReNi.

**Formation energy from the elements**: 11.08 eV/f.u.
**M_tot**: 0.000 Bohr magnetons per cell
**Electronic total energy**: -6.063 eV per atom

a = 4.4879 Å, b = 4.4879 Å, c = 4.7452 Å
α = 90.00°, β = 90.00°, γ = 90.00°
Last column: nearest neighbours and their distance in Å.
Atoms (fractional coordinates):
La (0.0000, 0.0000, 0.0000)  4 V 2.24, 2 Re 2.37
V (0.0000, 0.5000, 0.0000)  2 La 2.24
V (0.5000, 0.0000, 0.0000)  2 La 2.24
Re (0.0000, 0.0000, 0.5000)  2 La 2.37
Ni (0.5000, 0.5000, 0.5000)  4 Re 3.17, 8 V 3.27


Entry 14:
Density functional theory data (GGA-PBE) for a relaxed structure of La2Ni2Rh.

**Distance to the lowest polymorph of the same formula**: 88.8 meV per atom
**Formation energy from the elements**: -1.92 eV/f.u.
**M_tot**: 0.000 Bohr magnetons per cell
**Electronic total energy**: -6.137 eV per atom

a = 7.1712 Å, b = 7.1712 Å, c = 3.9289 Å
α = 90.00°, β = 90.00°, γ = 90.00°
Last column: nearest neighbours and their distance in Å.
Atoms (fractional coordinates):
La (0.1887, 0.3113, 0.0000)  6 Ni 2.77-2.99
La (0.3113, 0.8113, 0.0000)  6 Ni 2.77-2.99
La (0.6887, 0.1887, 0.0000)  6 Ni 2.77-2.99
La (0.8113, 0.6887, 0.0000)  6 Ni 2.77-2.99
Ni (0.1180, 0.6180, 0.5000)  1 Ni 2.39
Ni (0.3820, 0.1180, 0.5000)  1 Ni 2.39
Ni (0.6180, 0.8820, 0.5000)  1 Ni 2.39
Ni (0.8820, 0.3820, 0.5000)  1 Ni 2.39
Rh (0.0000, 0.0000, 0.5000)  4 Ni 2.87
Rh (0.5000, 0.5000, 0.5000)  4 Ni 2.87


Entry 15:
Density functional theory data (GGA-PBE) for a relaxed structure of La3Ni7Rh2.

**Formation energy from the elements**: -4.15 eV/f.u.
**M_tot**: 1.167 Bohr magnetons per cell
**Electronic total energy**: -6.175 eV per atom

a = 9.0433 Å, b = 9.0433 Å, c = 9.0433 Å
α = 32.83°, β = 32.83°, γ = 32.83°
Last column: nearest neighbours and their distance in Å.
Atoms (fractional coordinates):
La (0.0000, 0.0000, 0.0000)  6 Rh 2.95
La (0.1385, 0.1385, 0.1385)  12 Ni 2.91-3.21
La (0.8615, 0.8615, 0.8615)  12 Ni 2.91-3.21
Ni (0.0867, 0.5826, 0.5826)  5 Ni 2.53-2.58, 2 Rh 2.56-2.66
Ni (0.4174, 0.4174, 0.9133)  5 Ni 2.53-2.58, 2 Rh 2.56-2.66
Ni (0.4174, 0.9133, 0.4174)  5 Ni 2.53-2.58, 2 Rh 2.56-2.66
Ni (0.5000, 0.5000, 0.5000)  6 Ni 2.58
Ni (0.5826, 0.0867, 0.5826)  5 Ni 2.53-2.58, 2 Rh 2.56-2.66
Ni (0.5826, 0.5826, 0.0867)  5 Ni 2.53-2.58, 2 Rh 2.56-2.66
Ni (0.9133, 0.4174, 0.4174)  5 Ni 2.53-2.58, 2 Rh 2.56-2.66
Rh (0.3305, 0.3305, 0.3305)  6 Ni 2.56-2.66
Rh (0.6695, 0.6695, 0.6695)  6 Ni 2.56-2.66


Entry 16:
Density functional theory data (GGA-PBE) for a relaxed structure of LaNi2Rh.

**Distance to the lowest polymorph of the same formula**: 275.7 meV per atom
**Formation energy from the elements**: -0.45 eV/f.u.
**M_tot**: 0.000 Bohr magnetons per cell
**Electronic total energy**: -6.074 eV per atom

a = 4.1927 Å, b = 4.3246 Å, c = 4.4063 Å
α = 90.00°, β = 96.54°, γ = 90.00°
Last column: nearest neighbours and their distance in Å.
Atoms (fractional coordinates):
La (0.0000, 0.0000, 0.0000)  2 Rh 2.86, 4 Ni 3.11
Ni (0.4339, 0.5000, 0.7488)  2 Ni 2.22-2.32, 2 Rh 2.45
Ni (0.5661, 0.5000, 0.2512)  2 Ni 2.22-2.32, 2 Rh 2.45
Rh (0.5000, 0.0000, 0.5000)  4 Ni 2.45


Entry 17:
Density functional theory data (GGA-PBE) for a relaxed structure of LaNi2Rh.

**Distance to the lowest polymorph of the same formula**: 239.8 meV per atom
**Formation energy from the elements**: -0.60 eV/f.u.
**M_tot**: 0.000 Bohr magnetons per cell
**Electronic total energy**: -6.110 eV per atom

a = 4.8172 Å, b = 4.8172 Å, c = 4.8172 Å
α = 129.35°, β = 129.35°, γ = 74.45°
Last column: nearest neighbours and their distance in Å.
Atoms (fractional coordinates):
La (0.0000, 0.0000, 0.0000)  8 Ni 2.82, 4 Rh 2.91
Ni (0.2500, 0.7500, 0.5000)  4 Rh 2.82, 4 La 2.82, 4 Ni 2.91
Ni (0.7500, 0.2500, 0.5000)  4 Rh 2.82, 4 La 2.82, 4 Ni 2.91
Rh (0.5000, 0.5000, 0.0000)  8 Ni 2.82, 4 La 2.91


Entry 18:
Density functional theory data (GGA-PBE) for a relaxed structure of La4Ni3Rh.

**Formation energy from the elements**: -3.53 eV/f.u.
**M_tot**: 0.000 Bohr magnetons per cell
**Electronic total energy**: -5.992 eV per atom

a = 3.9038 Å, b = 4.3239 Å, c = 11.0369 Å
α = 90.00°, β = 90.00°, γ = 90.00°
Last column: nearest neighbours and their distance in Å.
Atoms (fractional coordinates):
La (0.0000, 0.0000, 0.0000)  6 Ni 3.00-3.02, 1 Rh 3.05
La (0.0000, 0.5000, 0.2693)  7 Ni 2.99-3.11
La (0.5000, 0.0000, 0.5015)  5 Ni 2.96-3.24, 2 Rh 3.13
La (0.5000, 0.5000, 0.7714)  4 Rh 2.96, 3 Ni 3.12-3.23
Ni (0.0000, 0.5000, 0.5507)  2 Rh 2.88, 7 La 2.96-3.12
Ni (0.5000, 0.0000, 0.2083)  2 Ni 2.68, 4 La 2.99
Ni (0.5000, 0.5000, 0.0643)  2 Ni 2.68, 6 La 2.99-3.00
Rh (0.0000, 0.0000, 0.7236)  2 Ni 2.88, 7 La 2.96-3.13


Entry 19:
Density functional theory data (GGA-PBE) for a relaxed structure of La8NiRh5.

**Formation energy from the elements**: -9.03 eV/f.u.
**M_tot**: 0.000 Bohr magnetons per cell
**Electronic total energy**: -6.499 eV per atom

a = 7.7981 Å, b = 7.7981 Å, c = 7.7981 Å
α = 109.49°, β = 109.49°, γ = 109.43°
Last column: nearest neighbours and their distance in Å.
Atoms (fractional coordinates):
La (0.2640, 0.5131, 0.6377)  2 Rh 2.85-2.87, 1 Ni 2.87
La (0.3738, 0.7360, 0.2491)  2 Rh 2.85-2.87, 1 Ni 2.87
La (0.3745, 0.2356, 0.2510)  3 Rh 2.86-2.88
La (0.4869, 0.1247, 0.7509)  2 Rh 2.85-2.87, 1 Ni 2.87
La (0.7644, 0.0154, 0.1389)  3 Rh 2.86-2.88
La (0.8753, 0.6262, 0.3623)  2 Rh 2.85-2.87, 1 Ni 2.87
La (0.8765, 0.6255, 0.8611)  3 Rh 2.86-2.88
La (0.9846, 0.1235, 0.7490)  3 Rh 2.86-2.88
Ni (0.5000, 0.5000, 0.0000)  4 La 2.87
Rh (0.1267, 0.0029, 0.3793)  4 La 2.85-2.88
Rh (0.2526, 0.8733, 0.8762)  4 La 2.85-2.88
Rh (0.6237, 0.7474, 0.6207)  4 La 2.85-2.88
Rh (0.7500, 0.2500, 0.5000)  4 La 2.86
Rh (0.9971, 0.3763, 0.1238)  4 La 2.85-2.88


Entry 20:
Density functional theory data (GGA-PBE) for a relaxed structure of La2Ni2Rh.

**Distance to the lowest polymorph of the same formula**: 0.0 meV per atom
**Formation energy from the elements**: -2.36 eV/f.u.
**M_tot**: 0.000 Bohr magnetons per cell
**Electronic total energy**: -6.226 eV per atom

a = 5.4802 Å, b = 5.4802 Å, c = 5.4802 Å
α = 129.58°, β = 125.89°, γ = 77.10°
Last column: nearest neighbours and their distance in Å.
Atoms (fractional coordinates):
La (0.1957, 0.1957, 0.0000)  6 Ni 2.89-3.13, 2 Rh 3.00
La (0.8043, 0.8043, 0.0000)  6 Ni 2.89-3.13, 2 Rh 3.00
Ni (0.2508, 0.5000, 0.7508)  2 Ni 2.49-2.50, 2 Rh 2.64
Ni (0.7492, 0.5000, 0.2492)  2 Ni 2.49-2.50, 2 Rh 2.64
Rh (0.5000, 0.0000, 0.5000)  4 Ni 2.64


| no. | DOS at the Fermi energy (states/eV per cell) |
| --- | --- |
| 1 | 7.6 |
| 2 | 3.0 |
| 3 | 3.5 |
| 4 | 11.2 |
| 5 | 4.7 |
| 6 | 10.7 |
| 7 | 6.2 |
| 8 | 8.7 |
| 9 | 2.6 |
| 10 | 8.7 |
| 11 | 6.8 |
| 12 | 9.8 |
| 13 | 5.2 |
| 14 | 6.6 |
| 15 | 14.0 |
| 16 | 4.5 |
| 17 | 4.6 |
| 18 | 6.2 |
| 19 | 9.0 |
| 20 | 4.2 |